No. 1
The following is a PBE-GGA calculation of a geometry-optimized Ba2SiRh structure, from Alexandria via LeMat-Bulk.

Values from the calculation:
calculated volume = 119.0 Å³ per cell
crystal system = tetragonal
E_form (uncorrected) = -0.1517 eV per atom

Cell lengths 3.511, 3.511, 9.649 Å; angles 90.00, 90.00, 90.00 degrees
Positions (direct):
Ba: 0.000 0.000 0.909
Ba: 0.500 0.500 0.336
Rh: 0.000 0.000 0.588
Si: 0.500 0.500 0.668



No. 2
The following is a PBE-GGA calculation of a geometry-optimized Ba3SiRh structure, from Alexandria via LeMat-Bulk.

Values from the calculation:
calculated volume = 198.8 Å³ per cell
crystal system = cubic
E_form (uncorrected) = 0.0432 eV per atom

Cell lengths 5.837, 5.837, 5.837 Å; angles 90.00, 90.00, 90.00 degrees
Site moments in Bohr magnetons follow the coordinates.
Positions (direct):
Si: 0.500 0.500 0.500  0.12
Rh: 0.000 0.000 0.000  0.02
Ba: 0.000 0.500 0.000  0.01
Ba: 0.000 0.000 0.500  0.00
Ba: 0.500 0.000 0.000  0.01



What did the first record say?
The following is a PBE-GGA calculation of a geometry-optimized Ba2SiRh structure, from Alexandria via LeMat-Bulk.

Values from the calculation:
calculated volume = 119.0 Å³ per cell
crystal system = tetragonal
E_form (uncorrected) = -0.1517 eV per atom

Cell lengths 3.511, 3.511, 9.649 Å; angles 90.00, 90.00, 90.00 degrees
Positions (direct):
Ba: 0.000 0.000 0.909
Ba: 0.500 0.500 0.336
Rh: 0.000 0.000 0.588
Si: 0.500 0.500 0.668